Entry from the Alexandria database: a relaxed KSe3 crystal (PBE-GGA).

Structure (POSCAR):
```
KSe3
1.0
6.0450 0.0192 0.0000
2.9625 5.2693 0.0000
-4.5038 -2.6443 3.0441
Se K
3 1
direct
0.7500 0.2500 0.5000 Se
0.2500 0.7500 0.5000 Se
0.5000 0.5000 0.0000 Se
0.0000 0.0000 0.0000 K
```

Relative energy among the computed polymorphs: 188 kJ/mol of formula units
N(E_F): 3.4 states/eV per cell
Formation energy from raw total energies: 13 meV per atom
Total moment: 0.000 μB/atom
Space group: No. 139
VASP energy: -0.2113 Ry/atom

---

Entry from the Alexandria database: a relaxed Ni2HgPt crystal (PBE-GGA).

Structure (POSCAR):
```
Ni2HgPt
1.0
-1.1251 2.4189 -1.0260
-2.3522 -0.4299 1.5659
2.9263 3.6507 5.3981
Ni Pt Hg
2 1 1
direct
0.0000 0.0000 0.0182 Ni
0.0000 0.0000 0.4818 Ni
0.5000 0.5000 0.2500 Pt
0.5000 0.5000 0.7500 Hg
```

N(E_F): 6.2 states/eV per cell
Total moment: 0.247 μB/atom
Space group: No. 123
Energy of formation from the pure elements: 101 meV/atom
VASP energy: -0.3216 Ry/atom